# La6TbPr8 (PBE, optimized geometry)
# Crystal system: trigonal
# Magnetization: 0.000 μB/cell
# ΔH_f (0 K): 95.7 meV/atom
data_La6TbPr8
_space_group_name_H-M_alt 'R -3'
_space_group_IT_number 148
_space_group_name_Hall '-R 3'
_cell_length_a 9.4232
_cell_length_b 9.4232
_cell_length_c 21.3874
_cell_angle_alpha 90.00
_cell_angle_beta 90.00
_cell_angle_gamma 120.00
loop_
_atom_site_label
_atom_site_fract_x
_atom_site_fract_y
_atom_site_fract_z
_atom_site_occupancy
La1 0.0510 0.2472 0.2090 1
Tb1 0.0000 0.0000 0.5000 1
Pr1 0.0000 0.0000 0.0778 1
Pr2 0.0799 0.5677 0.3065 1